The following is a DFT calculation (PBE) of a geometry-optimized K2Na4As structure.

Symmetry   I4/mmm, No. 139
Magnetization   0.000 μB/atom
Energy of formation   -0.882 eV per formula unit

Lattice parameters (Å, degrees): 5.678 5.678 19.577 90.00 90.00 90.00
Fractional coordinates of all 14 atoms:
K  0.000  0.000  0.162
K  0.000  0.000  0.838
K  0.500  0.500  0.338
K  0.500  0.500  0.662
Na  0.000  0.000  0.355
Na  0.000  0.000  0.645
Na  0.000  0.500  0.000
Na  0.000  0.500  0.500
Na  0.500  0.000  0.000
Na  0.500  0.000  0.500
Na  0.500  0.500  0.145
Na  0.500  0.500  0.855
As  0.000  0.000  0.500
As  0.500  0.500  0.000